(1)
Below is Zr3Fe at its PBEsol-relaxed geometry, with properties calculated at the SCAN level.

Calculated values
Crystal system   orthorhombic
ΔH_f (0 K)   -0.0145 eV/atom
Total energy   -27.5709 eV per atom

abc: 3.244 4.850 5.568
angles: 115.82 106.94 90.00
Last column: magnetic moment on the atom in μB.
Positions (direct):
Zr (0.713, 0.213, 0.426)  -0.15
Zr (0.500, 0.500, 0.000)  -0.25
Zr (0.287, 0.787, 0.574)  -0.15
Fe (0.000, 0.000, 0.000)  1.11

(2)
Below is Zr3Fe at its PBEsol-relaxed geometry, with properties calculated at the SCAN level.

Calculated values
Crystal system   orthorhombic
ΔH_f (0 K)   -0.0484 eV/atom
Total energy   -27.6049 eV per atom

abc: 5.664 6.132 8.869
angles: 90.00 90.00 90.00
Positions (direct):
Zr (0.668, 0.819, 0.562)
Zr (0.355, 0.459, 0.750)
Zr (0.832, 0.319, 0.562)
Zr (0.832, 0.319, 0.938)
Zr (0.168, 0.681, 0.062)
Zr (0.332, 0.181, 0.438)
Zr (0.168, 0.681, 0.438)
Zr (0.855, 0.041, 0.250)
Zr (0.145, 0.959, 0.750)
Zr (0.668, 0.819, 0.938)
Zr (0.332, 0.181, 0.062)
Zr (0.645, 0.541, 0.250)
Fe (0.427, 0.888, 0.250)
Fe (0.927, 0.612, 0.750)
Fe (0.573, 0.112, 0.750)
Fe (0.073, 0.388, 0.250)

(3)
Below is Ga at its PBEsol-relaxed geometry, with properties calculated at the SCAN level.

Calculated values
Crystal system   cubic
ΔH_f (0 K)   0.0874 eV/atom
Total energy   -16.2590 eV per atom

abc: 5.157 5.157 5.157
angles: 109.47 109.47 109.47
Positions (direct):
Ga (0.625, 0.250, 0.875)
Ga (0.125, 0.875, 0.250)
Ga (0.875, 0.750, 0.625)
Ga (0.750, 0.125, 0.375)
Ga (0.375, 0.625, 0.750)
Ga (0.250, 0.375, 0.125)

(4)
Below is Ga at its PBEsol-relaxed geometry, with properties calculated at the SCAN level.

Calculated values
Crystal system   cubic
ΔH_f (0 K)   0.1652 eV/atom
Total energy   -16.1812 eV per atom

abc: 2.854 2.854 2.854
angles: 109.47 109.47 109.47
Positions (direct):
Ga (0.000, 0.000, 0.000)